KSb2PtI: relaxed, PBE.

Output
Distance to the lowest polymorph of the same formula: 0.000 eV per atom
Formation energy without anion corrections: -179 meV per atom
Symmetry: P4/mmm, No. 123

a = 5.0661 Å, b = 5.0661 Å, c = 10.0160 Å
α = 90.00°, β = 90.00°, γ = 90.00°
With the nearest neighbours (Å) after each atom.
Fractional positions:
K 0.0000 0.0000 0.0000  4 I 3.58
Sb 0.0000 0.5000 0.5000  2 Pt 2.53
Sb 0.5000 0.0000 0.5000  2 Pt 2.53
Pt 0.5000 0.5000 0.5000  4 Sb 2.53
I 0.5000 0.5000 0.0000  4 K 3.58



MnReSeN2: relaxed, PBE.

Output
Distance to the lowest polymorph of the same formula: 0.000 eV per atom
Formation energy without anion corrections: 410 meV per atom
Symmetry: P4/mmm, No. 123

a = 3.8313 Å, b = 3.8313 Å, c = 5.4605 Å
α = 90.00°, β = 90.00°, γ = 90.00°
With the nearest neighbours (Å) after each atom.
Fractional positions:
Mn 0.0000 0.0000 0.0000  4 Se 2.71
Re 0.5000 0.5000 0.5000  4 N 1.92
Se 0.5000 0.5000 0.0000  4 Mn 2.71, 2 Re 2.73
N 0.0000 0.5000 0.5000  2 Re 1.92
N 0.5000 0.0000 0.5000  2 Re 1.92



LiTc2Au: relaxed, PBE.

Output
Distance to the lowest polymorph of the same formula: 0.185 eV per atom
Energy of formation from the pure elements: 0.22 eV/atom
Symmetry: P2/m, No. 10

a = 2.6420 Å, b = 4.7271 Å, c = 4.9786 Å
α = 90.00°, β = 102.89°, γ = 90.00°
With the nearest neighbours (Å) after each atom.
Fractional positions:
Li 0.0000 0.0000 0.0000  2 Au 2.54, 2 Li 2.64, 4 Tc 2.83
Tc 0.2958 0.5000 0.7633  3 Tc 2.36-2.64
Tc 0.7042 0.5000 0.2367  3 Tc 2.36-2.64
Au 0.5000 0.0000 0.5000  2 Li 2.54, 2 Au 2.64, 4 Tc 2.81



Mg7Ti: relaxed, PBE.

Output
Distance to the lowest polymorph of the same formula: 0.000 eV per atom
Energy of formation from the pure elements: 0.08 eV/atom
Symmetry: Fm-3m, No. 225

a = 6.2828 Å, b = 6.2828 Å, c = 6.2828 Å
α = 60.00°, β = 60.00°, γ = 60.00°
With the nearest neighbours (Å) after each atom.
Fractional positions:
Mg 0.0000 0.0000 0.0000  12 Mg 3.14
Mg 0.0000 0.0000 0.5000  10 Mg 3.14, 2 Ti 3.14
Mg 0.0000 0.5000 0.0000  10 Mg 3.14, 2 Ti 3.14
Mg 0.0000 0.5000 0.5000  2 Ti 3.14, 10 Mg 3.14
Mg 0.5000 0.0000 0.0000  10 Mg 3.14, 2 Ti 3.14
Mg 0.5000 0.0000 0.5000  2 Ti 3.14, 10 Mg 3.14
Mg 0.5000 0.5000 0.0000  2 Ti 3.14, 10 Mg 3.14
Ti 0.5000 0.5000 0.5000  12 Mg 3.14



BaAg2W: relaxed, PBE.

Output
Distance to the lowest polymorph of the same formula: 0.114 eV per atom
Energy of formation from the pure elements: 0.85 eV/atom
Symmetry: C2/m, No. 12

a = 9.4469 Å, b = 3.0181 Å, c = 6.8223 Å
α = 90.00°, β = 97.32°, γ = 90.00°
With the nearest neighbours (Å) after each atom.
Fractional positions:
Ba 0.0000 0.0000 0.0000  2 Ba 3.02
Ba 0.5000 0.5000 0.0000  2 Ba 3.02
Ag 0.2402 0.0000 0.6724  4 Ag 2.82-3.02, 3 W 2.85
Ag 0.2598 0.5000 0.3276  4 Ag 2.82-3.02, 3 W 2.85
Ag 0.7402 0.5000 0.6724  4 Ag 2.82-3.02, 3 W 2.85
Ag 0.7598 0.0000 0.3276  4 Ag 2.82-3.02, 3 W 2.85
W 0.0000 0.5000 0.5000  6 Ag 2.85, 2 W 3.02
W 0.5000 0.0000 0.5000  6 Ag 2.85, 2 W 3.02



Ca2MgSb: relaxed, PBE.

Output
Distance to the lowest polymorph of the same formula: 0.376 eV per atom
Formation energy without anion corrections: -198 meV per atom
Symmetry: F-43m, No. 216

a = 7.8454 Å, b = 7.8454 Å, c = 7.8454 Å
α = 90.00°, β = 90.00°, γ = 90.00°
With the nearest neighbours (Å) after each atom.
Fractional positions:
Ca 0.0000 0.0000 0.0000  4 Ca 3.40, 4 Sb 3.40
Ca 0.0000 0.5000 0.5000  4 Sb 3.40, 4 Ca 3.40
Ca 0.2500 0.2500 0.2500  4 Mg 3.40, 4 Ca 3.40
Ca 0.2500 0.7500 0.7500  4 Mg 3.40, 4 Ca 3.40
Ca 0.5000 0.0000 0.5000  4 Sb 3.40, 4 Ca 3.40
Ca 0.5000 0.5000 0.0000  4 Sb 3.40, 4 Ca 3.40
Ca 0.7500 0.2500 0.7500  4 Mg 3.40, 4 Ca 3.40
Ca 0.7500 0.7500 0.2500  4 Mg 3.40, 4 Ca 3.40
Mg 0.0000 0.0000 0.5000  4 Sb 3.40, 4 Ca 3.40
Mg 0.0000 0.5000 0.0000  4 Sb 3.40, 4 Ca 3.40
Mg 0.5000 0.0000 0.0000  4 Sb 3.40, 4 Ca 3.40
Mg 0.5000 0.5000 0.5000  4 Sb 3.40, 4 Ca 3.40
Sb 0.2500 0.2500 0.7500  4 Mg 3.40, 4 Ca 3.40
Sb 0.2500 0.7500 0.2500  4 Mg 3.40, 4 Ca 3.40
Sb 0.7500 0.2500 0.2500  4 Mg 3.40, 4 Ca 3.40
Sb 0.7500 0.7500 0.7500  4 Mg 3.40, 4 Ca 3.40



Tb4Sm6Zr: relaxed, PBE.

Output
Energy of formation from the pure elements: 0.15 eV/atom
Symmetry: P4/mnc, No. 128

a = 8.7398 Å, b = 8.7398 Å, c = 9.2260 Å
α = 90.00°, β = 90.00°, γ = 90.00°
With the nearest neighbours (Å) after each atom.
Fractional positions:
Tb 0.1464 0.3536 0.2500  8 Sm 3.39-3.51, 1 Tb 3.62
Tb 0.1464 0.3536 0.7500  8 Sm 3.39-3.51, 1 Tb 3.62
Tb 0.3536 0.8536 0.2500  8 Sm 3.39-3.51, 1 Tb 3.62
Tb 0.3536 0.8536 0.7500  8 Sm 3.39-3.51, 1 Tb 3.62
Tb 0.6464 0.1464 0.2500  8 Sm 3.39-3.51, 1 Tb 3.62
Tb 0.6464 0.1464 0.7500  8 Sm 3.39-3.51, 1 Tb 3.62
Tb 0.8536 0.6464 0.2500  8 Sm 3.39-3.51, 1 Tb 3.62
Tb 0.8536 0.6464 0.7500  8 Sm 3.39-3.51, 1 Tb 3.62
Sm 0.0000 0.0000 0.1768  1 Zr 2.98, 1 Sm 3.26
Sm 0.0000 0.0000 0.8232  1 Zr 2.98, 1 Sm 3.26
Sm 0.1488 0.6561 0.5000  1 Zr 3.27, 6 Tb 3.39-3.51
Sm 0.1561 0.6488 0.0000  1 Zr 3.27, 6 Tb 3.39-3.51
Sm 0.3439 0.1488 0.5000  1 Zr 3.27, 6 Tb 3.39-3.51
Sm 0.3512 0.1561 0.0000  1 Zr 3.27, 6 Tb 3.39-3.51
Sm 0.5000 0.5000 0.3232  1 Zr 2.98, 1 Sm 3.26
Sm 0.5000 0.5000 0.6768  1 Zr 2.98, 1 Sm 3.26
Sm 0.6488 0.8439 0.0000  1 Zr 3.27, 6 Tb 3.39-3.51
Sm 0.6561 0.8512 0.5000  1 Zr 3.27, 6 Tb 3.39-3.51
Sm 0.8439 0.3512 0.0000  1 Zr 3.27, 6 Tb 3.39-3.51
Sm 0.8512 0.3439 0.5000  1 Zr 3.27, 6 Tb 3.39-3.51
Zr 0.0000 0.0000 0.5000  6 Sm 2.98-3.27
Zr 0.5000 0.5000 0.0000  6 Sm 2.98-3.27



SmY2Tm5Sc: relaxed, PBE.

Output
Energy of formation from the pure elements: 0.17 eV/atom
Symmetry: Cmc2_1, No. 36

a = 10.1269 Å, b = 10.1269 Å, c = 10.3375 Å
α = 90.00°, β = 90.00°, γ = 148.33°
With the nearest neighbours (Å) after each atom.
Fractional positions:
Sm 0.0860 0.9140 0.5000  5 Tm 2.99-3.20
Sm 0.9140 0.0860 0.0000  5 Tm 2.99-3.20
Y 0.3869 0.6131 0.7784  1 Sc 3.33, 7 Tm 3.40-3.62, 2 Sm 3.63
Y 0.3891 0.6109 0.3603  9 Tm 3.26-3.52, 1 Sc 3.55
Y 0.6109 0.3891 0.8603  9 Tm 3.26-3.52, 1 Sc 3.55
Y 0.6131 0.3869 0.2784  1 Sc 3.33, 7 Tm 3.40-3.62, 2 Sm 3.63
Tm 0.0190 0.9810 0.7822  2 Sm 3.04-3.20, 2 Y 3.39
Tm 0.1204 0.8796 0.0646  4 Y 3.48-3.54, 6 Tm 3.53-3.89, 1 Sc 3.54
Tm 0.2015 0.7985 0.7497  4 Tm 3.36-3.62, 3 Sc 3.40-3.74, 1 Sm 3.43, 3 Y 3.47-3.62
Tm 0.2217 0.7783 0.3646  1 Sm 2.99, 1 Y 3.26
Tm 0.4801 0.5199 0.0659  2 Sm 3.12, 3 Y 3.32-3.48, 1 Sc 3.47
Tm 0.5199 0.4801 0.5659  2 Sm 3.12, 3 Y 3.32-3.48, 1 Sc 3.47
Tm 0.7783 0.2217 0.8646  1 Sm 2.99, 1 Y 3.26
Tm 0.7985 0.2015 0.2497  4 Tm 3.36-3.62, 3 Sc 3.40-3.74, 1 Sm 3.43, 3 Y 3.47-3.62
Tm 0.8796 0.1204 0.5646  4 Y 3.48-3.54, 6 Tm 3.53-3.89, 1 Sc 3.54
Tm 0.9810 0.0190 0.2822  2 Sm 3.04-3.20, 2 Y 3.39
Sc 0.3021 0.6979 0.0583  2 Y 3.33-3.55, 7 Tm 3.40-3.54, 2 Sm 3.57
Sc 0.6979 0.3021 0.5583  2 Y 3.33-3.55, 7 Tm 3.40-3.54, 2 Sm 3.57



LaPuZnSn: relaxed, PBE.

Output
Energy of formation from the pure elements: -0.34 eV/atom
Symmetry: F-43m, No. 216

a = 7.5979 Å, b = 7.5979 Å, c = 7.5979 Å
α = 90.00°, β = 90.00°, γ = 90.00°
With the nearest neighbours (Å) after each atom.
Fractional positions:
La 0.0000 0.0000 0.0000  4 Sn 3.29, 4 Zn 3.29
La 0.0000 0.5000 0.5000  4 Sn 3.29, 4 Zn 3.29
La 0.5000 0.0000 0.5000  4 Sn 3.29, 4 Zn 3.29
La 0.5000 0.5000 0.0000  4 Sn 3.29, 4 Zn 3.29
Pu 0.0000 0.0000 0.5000  4 Zn 3.29, 4 Sn 3.29
Pu 0.0000 0.5000 0.0000  4 Zn 3.29, 4 Sn 3.29
Pu 0.5000 0.0000 0.0000  4 Zn 3.29, 4 Sn 3.29
Pu 0.5000 0.5000 0.5000  4 Zn 3.29, 4 Sn 3.29
Zn 0.2500 0.2500 0.2500  4 La 3.29, 4 Pu 3.29
Zn 0.2500 0.7500 0.7500  4 La 3.29, 4 Pu 3.29
Zn 0.7500 0.2500 0.7500  4 La 3.29, 4 Pu 3.29
Zn 0.7500 0.7500 0.2500  4 La 3.29, 4 Pu 3.29
Sn 0.2500 0.2500 0.7500  4 La 3.29, 4 Pu 3.29
Sn 0.2500 0.7500 0.2500  4 La 3.29, 4 Pu 3.29
Sn 0.7500 0.2500 0.2500  4 La 3.29, 4 Pu 3.29
Sn 0.7500 0.7500 0.7500  4 La 3.29, 4 Pu 3.29



Hf3Al4Cu2: relaxed, PBE.

Output
Energy of formation from the pure elements: -0.38 eV/atom
Symmetry: C2/m, No. 12

a = 5.3302 Å, b = 5.3302 Å, c = 8.1199 Å
α = 114.86°, β = 114.86°, γ = 48.13°
With the nearest neighbours (Å) after each atom.
Fractional positions:
Hf 0.0000 0.0000 0.0000  8 Al 2.92-3.00, 4 Cu 3.00, 2 Hf 3.15
Hf 0.3397 0.3397 0.3284  4 Cu 2.88-2.97, 8 Al 2.91-2.98, 2 Hf 3.08-3.15
Hf 0.6603 0.6603 0.6716  4 Cu 2.88-2.97, 8 Al 2.91-2.98, 2 Hf 3.08-3.15
Al 0.0677 0.0677 0.3931  2 Cu 2.47, 1 Al 2.62
Al 0.2818 0.2818 0.9393  1 Cu 2.44, 2 Al 2.58
Al 0.7182 0.7182 0.0607  1 Cu 2.44, 2 Al 2.58
Al 0.9323 0.9323 0.6069  2 Cu 2.47, 1 Al 2.62
Cu 0.3816 0.3816 0.7133  3 Al 2.44-2.47
Cu 0.6184 0.6184 0.2867  3 Al 2.44-2.47



Sc3ReCl: relaxed, PBE.

Output
Distance to the lowest polymorph of the same formula: 0.060 eV per atom
Formation energy without anion corrections: 149 meV per atom
Symmetry: Pm-3m, No. 221

a = 5.1309 Å, b = 5.1309 Å, c = 5.1309 Å
α = 90.00°, β = 90.00°, γ = 90.00°
With the nearest neighbours (Å) after each atom.
Fractional positions:
Sc 0.0000 0.0000 0.5000  2 Re 2.57
Sc 0.0000 0.5000 0.0000  2 Re 2.57
Sc 0.5000 0.0000 0.0000  2 Re 2.57
Re 0.0000 0.0000 0.0000  6 Sc 2.57
Cl 0.5000 0.5000 0.5000  12 Sc 3.63



Ac3LaIn2: relaxed, PBE.

Output
Energy of formation from the pure elements: -0.30 eV/atom
Symmetry: Pmc2_1, No. 26

a = 5.6482 Å, b = 10.7119 Å, c = 7.2912 Å
α = 90.00°, β = 90.00°, γ = 90.00°
With the nearest neighbours (Å) after each atom.
Fractional positions:
Ac 0.0000 0.0475 0.0000  3 In 3.49-3.55, 4 Ac 3.77-3.78
Ac 0.0000 0.3259 0.3477  5 In 3.38-3.79, 2 La 3.74
Ac 0.0000 0.6741 0.8477  5 In 3.38-3.79, 2 La 3.74
Ac 0.0000 0.9525 0.5000  3 In 3.49-3.55, 4 Ac 3.77-3.78
Ac 0.5000 0.1814 0.7186  5 In 3.50-3.82, 2 Ac 3.77, 1 La 3.84
Ac 0.5000 0.8186 0.2186  5 In 3.50-3.82, 2 Ac 3.77, 1 La 3.84
La 0.5000 0.4508 0.0669  3 In 3.45-3.51, 3 Ac 3.74-3.84, 2 La 3.80
La 0.5000 0.5492 0.5669  3 In 3.45-3.51, 3 Ac 3.74-3.84, 2 La 3.80
In 0.0000 0.3583 0.8304  6 Ac 3.38-3.79, 2 La 3.45
In 0.0000 0.6417 0.3304  6 Ac 3.38-3.79, 2 La 3.45
In 0.5000 0.1455 0.2404  7 Ac 3.49-3.82, 1 La 3.51
In 0.5000 0.8545 0.7404  7 Ac 3.49-3.82, 1 La 3.51



NiGeRu: relaxed, PBE.

Output
Energy of formation from the pure elements: -0.12 eV/atom
Symmetry: Pm, No. 6

a = 4.2845 Å, b = 2.9398 Å, c = 6.4025 Å
α = 90.00°, β = 102.82°, γ = 90.00°
With the nearest neighbours (Å) after each atom.
Fractional positions:
Ni 0.0000 0.0000 0.0000  6 Ge 2.49-2.63, 2 Ni 2.60, 1 Ru 2.67
Ni 0.2494 0.5000 0.3297  1 Ge 2.42, 4 Ru 2.56-2.64, 2 Ni 2.60
Ge 0.5185 0.5000 0.0354  5 Ni 2.42-2.63, 4 Ru 2.55-2.56
Ge 0.8952 0.5000 0.6776  2 Ni 2.49, 6 Ru 2.50-2.61
Ru 0.4011 0.0000 0.7003  6 Ge 2.56-2.61, 4 Ni 2.74-2.85
Ru 0.7692 0.0000 0.3542  4 Ge 2.50-2.55, 5 Ni 2.56-2.67



TmCuSi: relaxed, PBE.

Output
Formation energy without anion corrections: -520 meV per atom
Symmetry: F-43m, No. 216

a = 6.0843 Å, b = 6.0843 Å, c = 6.0843 Å
α = 90.00°, β = 90.00°, γ = 90.00°
With the nearest neighbours (Å) after each atom.
Fractional positions:
Tm 0.0000 0.0000 0.0000  4 Cu 2.63
Tm 0.0000 0.5000 0.5000  4 Cu 2.63
Tm 0.5000 0.0000 0.5000  4 Cu 2.63
Tm 0.5000 0.5000 0.0000  4 Cu 2.63
Cu 0.2500 0.2500 0.2500  4 Si 2.63, 4 Tm 2.63
Cu 0.2500 0.7500 0.7500  4 Tm 2.63, 4 Si 2.63
Cu 0.7500 0.2500 0.7500  4 Tm 2.63, 4 Si 2.63
Cu 0.7500 0.7500 0.2500  4 Si 2.63, 4 Tm 2.63
Si 0.0000 0.0000 0.5000  4 Cu 2.63
Si 0.0000 0.5000 0.0000  4 Cu 2.63
Si 0.5000 0.0000 0.0000  4 Cu 2.63
Si 0.5000 0.5000 0.5000  4 Cu 2.63



BaLiTeO2: relaxed, PBE.

Output
Formation energy without anion corrections: -379 meV per atom
Symmetry: P4/mmm, No. 123

a = 4.5156 Å, b = 4.5156 Å, c = 8.7506 Å
α = 90.00°, β = 90.00°, γ = 90.00°
With the nearest neighbours (Å) after each atom.
Fractional positions:
Ba 0.0000 0.0000 0.0000  4 O 2.26
Li 0.0000 0.0000 0.5000  4 Te 3.19
Te 0.5000 0.5000 0.5000  4 Li 3.19
O 0.0000 0.5000 0.0000  2 Ba 2.26
O 0.5000 0.0000 0.0000  2 Ba 2.26



KTl2Br: relaxed, PBE.

Output
Distance to the lowest polymorph of the same formula: 0.165 eV per atom
Formation energy without anion corrections: -451 meV per atom
Symmetry: I-4m2, No. 119

a = 5.0821 Å, b = 5.0821 Å, c = 10.5279 Å
α = 90.00°, β = 90.00°, γ = 90.00°
With the nearest neighbours (Å) after each atom.
Fractional positions:
K 0.0000 0.0000 0.0000  8 Tl 3.59-3.66, 4 Br 3.66
K 0.5000 0.5000 0.5000  8 Tl 3.59-3.66, 4 Br 3.66
Tl 0.0000 0.0000 0.5000  4 K 3.59, 4 Tl 3.66, 4 Br 3.66
Tl 0.0000 0.5000 0.7500  4 Br 3.59, 4 Tl 3.66, 4 K 3.66
Tl 0.5000 0.0000 0.2500  4 Br 3.59, 4 K 3.66, 4 Tl 3.66
Tl 0.5000 0.5000 0.0000  4 K 3.59, 4 Tl 3.66, 4 Br 3.66
Br 0.0000 0.5000 0.2500  8 Tl 3.59-3.66, 4 K 3.66
Br 0.5000 0.0000 0.7500  8 Tl 3.59-3.66, 4 K 3.66



MnReTe2: relaxed, PBE.

Output
Distance to the lowest polymorph of the same formula: 0.147 eV per atom
Formation energy without anion corrections: 230 meV per atom
Symmetry: Immm, No. 71

a = 3.6397 Å, b = 3.8362 Å, c = 14.6250 Å
α = 90.00°, β = 90.00°, γ = 90.00°
With the nearest neighbours (Å) after each atom.
Fractional positions:
Mn 0.0000 0.0000 0.0000  4 Re 2.64, 4 Te 2.67
Mn 0.5000 0.5000 0.5000  4 Re 2.64, 4 Te 2.67
Re 0.0000 0.0000 0.5000  4 Mn 2.64, 4 Te 2.74
Re 0.5000 0.5000 0.0000  4 Mn 2.64, 4 Te 2.74
Te 0.0000 0.5000 0.3662  2 Mn 2.67, 2 Re 2.74
Te 0.0000 0.5000 0.6338  2 Mn 2.67, 2 Re 2.74
Te 0.5000 0.0000 0.1338  2 Mn 2.67, 2 Re 2.74
Te 0.5000 0.0000 0.8662  2 Mn 2.67, 2 Re 2.74



NbVPb: relaxed, PBE.

Output
Energy of formation from the pure elements: 0.57 eV/atom
Symmetry: Fddd, No. 70

a = 9.0791 Å, b = 7.2202 Å, c = 7.0726 Å
α = 78.87°, β = 51.29°, γ = 49.85°
With the nearest neighbours (Å) after each atom.
Fractional positions:
Nb 0.0237 0.0237 0.2263  4 V 2.59-2.79, 1 Nb 2.63, 2 Pb 2.86
Nb 0.2263 0.2263 0.0237  4 V 2.59-2.79, 1 Nb 2.63, 2 Pb 2.86
Nb 0.7737 0.7737 0.9763  4 V 2.59-2.79, 1 Nb 2.63, 2 Pb 2.86
Nb 0.9763 0.9763 0.7737  4 V 2.59-2.79, 1 Nb 2.63, 2 Pb 2.86
V 0.0694 0.6806 0.0694  4 Nb 2.59-2.79
V 0.3194 0.9306 0.3194  4 Nb 2.59-2.79
V 0.6806 0.0694 0.6806  4 Nb 2.59-2.79
V 0.9306 0.3194 0.9306  4 Nb 2.59-2.79
Pb 0.0000 0.5000 0.5000  2 Nb 2.86, 4 V 2.91-2.99
Pb 0.5000 0.0000 0.5000  2 Nb 2.86, 4 V 2.91-2.99
Pb 0.5000 0.5000 0.0000  2 Nb 2.86, 4 V 2.91-2.99
Pb 0.5000 0.5000 0.5000  2 Nb 2.86, 4 V 2.91-2.99



Number 1: E -17.83 eV for the cell shown. Number 2: E -39.70 eV for the cell shown. Number 3: E -25.03 eV for the cell shown. Number 4: E -18.42 eV for the cell shown. Number 5: E -34.32 eV for the cell shown. Number 6: E -42.05 eV for the cell shown. Number 7: E -107.40 eV for the cell shown. Number 8: E -89.58 eV for the cell shown. Number 9: E -103.51 eV for the cell shown. Number 10: E -56.48 eV for the cell shown. Number 11: E -32.55 eV for the cell shown. Number 12: E -49.11 eV for the cell shown. Number 13: E -40.08 eV for the cell shown. Number 14: E -62.20 eV for the cell shown. Number 15: E -18.79 eV for the cell shown. Number 16: E -18.61 eV for the cell shown. Number 17: E -53.96 eV for the cell shown. Number 18: E -84.72 eV for the cell shown.